A relaxed CaPdC2 crystal, computed with PBE-GGA.

a = 4.110 Å, b = 4.110 Å, c = 4.110 Å
α = 60.00°, β = 60.00°, γ = 60.00°
Fractional positions:
1 C 0.750 0.750 0.750
2 C 0.250 0.250 0.250
3 Ca 0.000 0.000 0.000
4 Pd 0.500 0.500 0.500

The spin magnetization is 0.000 Bohr magnetons per cell. The energy of formation is 1.293 eV per atom.